Record 1
Below is a crystal of Ba3BBr3O3 relaxed with PBEsol, with properties calculated at the meta-GGA SCAN level.

Values from the calculation:
M_tot (μB/cell): 0.00
Fermi-level density of states (states/eV per atom): 0.000
SG: P-1 (2)
Electronic total energy (eV per atom): -23.118
ρ (g/cm3): 4.846

abc: 9.2667 9.2871 12.8902
angles: 98.83 92.17 116.52
Fractional positions:
Ba 0.0071 0.1752 0.2640
Ba 0.0087 0.6448 0.3945
Ba 0.0425 0.2702 0.9233
Ba 0.4219 0.2438 0.5184
Ba 0.4714 0.6186 0.7504
Ba 0.4888 0.1646 0.8570
Ba 0.5112 0.8354 0.1430
Ba 0.5286 0.3814 0.2496
Ba 0.5781 0.7562 0.4816
Ba 0.9575 0.7298 0.0767
Ba 0.9913 0.3552 0.6055
Ba 0.9929 0.8248 0.7360
B 0.2423 0.4245 0.4475
B 0.2590 0.2634 0.7578
B 0.7410 0.7366 0.2422
B 0.7577 0.5755 0.5525
Br 0.0000 0.0000 0.5000
Br 0.1464 0.5220 0.1561
Br 0.2090 0.1191 0.0719
Br 0.2638 0.9489 0.2870
Br 0.2881 0.7928 0.9110
Br 0.3152 0.8711 0.6046
Br 0.5000 0.5000 0.0000
Br 0.6848 0.1289 0.3954
Br 0.7119 0.2072 0.0890
Br 0.7362 0.0511 0.7130
Br 0.7910 0.8809 0.9281
Br 0.8536 0.4780 0.8439
O 0.0951 0.4238 0.4226
O 0.1865 0.3661 0.7600
O 0.1930 0.1288 0.8067
O 0.3022 0.3490 0.3717
O 0.3233 0.4878 0.5491
O 0.4075 0.3052 0.7188
O 0.5925 0.6948 0.2812
O 0.6767 0.5122 0.4509
O 0.6978 0.6510 0.6283
O 0.8070 0.8712 0.1933
O 0.8135 0.6339 0.2400
O 0.9049 0.5762 0.5774

Record 2
Below is a crystal of BaB2PBr relaxed with PBEsol, with properties calculated at the meta-GGA SCAN level.

Values from the calculation:
M_tot (μB/cell): 0.00
Fermi-level density of states (states/eV per atom): 0.302
SG: P4/mmm (123)
Electronic total energy (eV per atom): -15.355
ρ (g/cm3): 4.234

abc: 4.5344 4.5344 5.1475
angles: 90.00 90.00 90.00
Fractional positions:
Ba 0.0000 0.0000 0.0000
B 0.0000 0.5000 0.5000
B 0.5000 0.0000 0.5000
P 0.5000 0.5000 0.0000
Br 0.5000 0.5000 0.5000